*i*
{
  "formula": "LaCd2W",
  "functional": "meta-GGA SCAN",
  "state": "PBEsol geometry",
  "lattice_angstrom": [[2.898, -4.790, 0.000], [2.898, 4.790, 0.000], [0.000, 0.000, 3.007]],
  "species": ["La", "Cd", "Cd", "W"],
  "frac_coords": [[0.000, 0.000, 0.000], [0.000, 0.500, 0.500], [0.500, 0.000, 0.500], [0.500, 0.500, 0.000]],
  "total_magnetization_mub_per_fu": 0.0,
  "dos_ef_per_ev_cell": 2.5,
  "space_group": "Cmmm, No. 65"
}

*ii*
{
  "formula": "LaCd2W",
  "functional": "meta-GGA SCAN",
  "state": "PBEsol geometry",
  "lattice_angstrom": [[-1.665, 2.403, 5.404], [1.665, -2.403, 5.404], [1.665, 2.403, -5.404]],
  "species": ["La", "Cd", "Cd", "W"],
  "frac_coords": [[0.000, 0.000, 0.000], [0.279, 0.779, 0.500], [0.721, 0.221, 0.500], [0.500, 0.500, 0.000]],
  "total_magnetization_mub_per_fu": 0.0,
  "dos_ef_per_ev_cell": 2.4,
  "space_group": "Immm, No. 71"
}

*iii*
{
  "formula": "LaCd2W",
  "functional": "meta-GGA SCAN",
  "state": "PBEsol geometry",
  "lattice_angstrom": [[5.486, -1.491, 0.000], [5.486, 1.491, 0.000], [-1.093, 0.000, 5.228]],
  "species": ["La", "Cd", "Cd", "W"],
  "frac_coords": [[0.000, 0.000, 0.000], [0.232, 0.232, 0.723], [0.768, 0.768, 0.277], [0.500, 0.500, 0.500]],
  "total_magnetization_mub_per_fu": 0.0,
  "dos_ef_per_ev_cell": 3.1,
  "space_group": "C2/m, No. 12"
}

On energetic grounds, *ii* is preferred over the next structure by 2.3 kJ/mol of atoms.

*i*
{
  "formula": "LaCdW",
  "functional": "meta-GGA SCAN",
  "state": "PBEsol geometry",
  "lattice_angstrom": [[-1.485, 1.945, 5.840], [1.485, -1.945, 5.840], [1.485, 1.945, -5.840]],
  "species": ["La", "Cd", "W"],
  "frac_coords": [[0.000, 0.000, 0.000], [0.296, 0.296, 0.000], [0.672, 0.672, 0.000]],
  "total_magnetization_mub_per_fu": 0.0,
  "dos_ef_per_ev_cell": 2.2,
  "space_group": "Imm2, No. 44"
}

*ii*
{
  "formula": "LaCdW",
  "functional": "meta-GGA SCAN",
  "state": "PBEsol geometry",
  "lattice_angstrom": [[5.143, 0.000, 0.000], [-2.572, 4.454, 0.000], [0.000, 0.000, 2.862]],
  "species": ["La", "Cd", "W"],
  "frac_coords": [[0.000, 0.000, 0.000], [0.667, 0.333, 0.500], [0.333, 0.667, 0.500]],
  "total_magnetization_mub_per_fu": 0.0,
  "dos_ef_per_ev_cell": 3.0,
  "space_group": "P-6m2, No. 187"
}

On energetic grounds, *i* is preferred over the next structure by 3.7 kJ/mol of atoms.

*i*
{
  "formula": "La2ZnCd",
  "functional": "meta-GGA SCAN",
  "state": "PBEsol geometry",
  "lattice_angstrom": [[-1.864, 2.608, 5.327], [1.864, -2.608, 5.327], [1.864, 2.608, -5.327]],
  "species": ["La", "La", "Zn", "Cd"],
  "frac_coords": [[0.000, 0.000, 0.000], [0.716, 0.216, 0.500], [0.253, 0.753, 0.500], [0.439, 0.439, 0.000]],
  "total_magnetization_mub_per_fu": 0.0,
  "dos_ef_per_ev_cell": 2.8,
  "space_group": "Imm2, No. 44"
}

*ii*
{
  "formula": "La2ZnCd",
  "functional": "meta-GGA SCAN",
  "state": "PBEsol geometry",
  "lattice_angstrom": [[0.000, 3.779, 3.779], [3.779, 0.000, 3.779], [3.779, 3.779, 0.000]],
  "species": ["La", "La", "Zn", "Cd"],
  "frac_coords": [[0.250, 0.250, 0.250], [0.750, 0.750, 0.750], [0.000, 0.000, 0.000], [0.500, 0.500, 0.500]],
  "total_magnetization_mub_per_fu": 0.0,
  "dos_ef_per_ev_cell": 4.3,
  "space_group": "Fm-3m, No. 225"
}

On energetic grounds, *ii* is preferred over the next structure by 3.5 kJ/mol of atoms.

*i*
{
  "formula": "La2ZnCd",
  "functional": "meta-GGA SCAN",
  "state": "PBEsol geometry",
  "lattice_angstrom": [[3.770, 0.000, 0.000], [0.000, 3.770, 0.000], [0.000, 0.000, 7.514]],
  "species": ["La", "La", "Zn", "Cd"],
  "frac_coords": [[0.000, 0.000, 0.229], [0.000, 0.000, 0.771], [0.500, 0.500, 0.000], [0.500, 0.500, 0.500]],
  "total_magnetization_mub_per_fu": 0.0,
  "dos_ef_per_ev_cell": 3.3,
  "space_group": "P4/mmm, No. 123"
}

*ii*
{
  "formula": "La2ZnCd",
  "functional": "meta-GGA SCAN",
  "state": "PBEsol geometry",
  "lattice_angstrom": [[3.673, 0.000, 0.000], [0.000, 5.130, 0.000], [0.000, 0.000, 5.494]],
  "species": ["La", "La", "Zn", "Cd"],
  "frac_coords": [[0.000, 0.000, 0.000], [0.000, 0.500, 0.384], [0.500, 0.500, 0.869], [0.500, 0.000, 0.523]],
  "total_magnetization_mub_per_fu": 0.0,
  "dos_ef_per_ev_cell": 3.0,
  "space_group": "Pmm2, No. 25"
}

On energetic grounds, *i* is preferred over the next structure by 2.5 kJ/mol of atoms.

*i*
{
  "formula": "Li2Cd2Pb",
  "functional": "meta-GGA SCAN",
  "state": "PBEsol geometry",
  "lattice_angstrom": [[8.139, 0.000, 0.000], [0.000, 8.139, 0.000], [0.000, 0.000, 3.131]],
  "species": ["Li", "Li", "Li", "Li", "Cd", "Cd", "Cd", "Cd", "Pb", "Pb"],
  "frac_coords": [[0.170, 0.330, 0.000], [0.330, 0.830, 0.000], [0.670, 0.170, 0.000], [0.830, 0.670, 0.000], [0.127, 0.627, 0.500], [0.373, 0.127, 0.500], [0.627, 0.873, 0.500], [0.873, 0.373, 0.500], [0.000, 0.000, 0.500], [0.500, 0.500, 0.500]],
  "total_magnetization_mub_per_fu": 0.0,
  "dos_ef_per_ev_cell": 2.5,
  "space_group": "P4/mbm, No. 127"
}

*ii*
{
  "formula": "Li2Cd2Pb",
  "functional": "meta-GGA SCAN",
  "state": "PBEsol geometry",
  "lattice_angstrom": [[-1.981, 1.981, 7.079], [1.981, -1.981, 7.079], [1.981, 1.981, -7.079]],
  "species": ["Li", "Li", "Cd", "Cd", "Pb"],
  "frac_coords": [[0.250, 0.750, 0.500], [0.750, 0.250, 0.500], [0.108, 0.108, 0.000], [0.892, 0.892, 0.000], [0.500, 0.500, 0.000]],
  "total_magnetization_mub_per_fu": 0.0,
  "dos_ef_per_ev_cell": 1.8,
  "space_group": "I4/mmm, No. 139"
}

On energetic grounds, *i* is preferred over the next structure by 13.3 kJ/mol of atoms.

*i*
{
  "formula": "LiCdPb",
  "functional": "meta-GGA SCAN",
  "state": "PBEsol geometry",
  "lattice_angstrom": [[-1.690, 2.147, 4.632], [1.690, -2.147, 4.632], [1.690, 2.147, -4.632]],
  "species": ["Li", "Cd", "Pb"],
  "frac_coords": [[0.000, 0.000, 0.000], [0.340, 0.340, 0.000], [0.669, 0.669, 0.000]],
  "total_magnetization_mub_per_fu": 0.0,
  "dos_ef_per_ev_cell": 0.9,
  "space_group": "Imm2, No. 44"
}

*ii*
{
  "formula": "LiCdPb",
  "functional": "meta-GGA SCAN",
  "state": "PBEsol geometry",
  "lattice_angstrom": [[4.915, 0.000, 0.000], [-2.458, 4.257, 0.000], [0.000, 0.000, 3.301]],
  "species": ["Li", "Cd", "Pb"],
  "frac_coords": [[0.000, 0.000, 0.000], [0.667, 0.333, 0.296], [0.333, 0.667, 0.597]],
  "total_magnetization_mub_per_fu": 0.0,
  "dos_ef_per_ev_cell": 1.3,
  "space_group": "P3m1, No. 156"
}

*iii*
{
  "formula": "LiCdPb",
  "functional": "meta-GGA SCAN",
  "state": "PBEsol geometry",
  "lattice_angstrom": [[-1.680, 1.680, 5.841], [1.680, -1.680, 5.841], [1.680, 1.680, -5.841]],
  "species": ["Li", "Cd", "Pb"],
  "frac_coords": [[0.000, 0.000, 0.000], [0.636, 0.636, 0.000], [0.331, 0.331, 0.000]],
  "total_magnetization_mub_per_fu": 0.0,
  "dos_ef_per_ev_cell": 0.9,
  "space_group": "I4mm, No. 107"
}

On energetic grounds, *i* is preferred over the next structure by 1.4 kJ/mol of atoms.

*i*
{
  "formula": "LiCd2Re",
  "functional": "meta-GGA SCAN",
  "state": "PBEsol geometry",
  "lattice_angstrom": [[-2.293, 2.293, 3.250], [2.293, -2.293, 3.250], [2.293, 2.293, -3.250]],
  "species": ["Li", "Cd", "Cd", "Re"],
  "frac_coords": [[0.000, 0.000, 0.000], [0.250, 0.750, 0.500], [0.750, 0.250, 0.500], [0.500, 0.500, 0.000]],
  "total_magnetization_mub_per_fu": 2.0,
  "dos_ef_per_ev_cell": 1.7,
  "space_group": "I4/mmm, No. 139"
}

*ii*
{
  "formula": "LiCd2Re",
  "functional": "meta-GGA SCAN",
  "state": "PBEsol geometry",
  "lattice_angstrom": [[5.261, -1.375, 0.000], [5.261, 1.375, 0.000], [-1.992, 0.000, 4.618]],
  "species": ["Li", "Cd", "Cd", "Re"],
  "frac_coords": [[0.000, 0.000, 0.000], [0.508, 0.508, 0.516], [0.754, 0.754, 0.076], [0.255, 0.255, 0.575]],
  "total_magnetization_mub_per_fu": 0.0,
  "dos_ef_per_ev_cell": 1.1,
  "space_group": "Cm, No. 8"
}

On energetic grounds, *ii* is preferred over the next structure by 23.4 kJ/mol of atoms.

*i*
{
  "formula": "Sr2Li2Cd",
  "functional": "meta-GGA SCAN",
  "state": "PBEsol geometry",
  "lattice_angstrom": [[7.768, 0.000, 0.000], [0.000, 7.768, 0.000], [0.000, 0.000, 5.110]],
  "species": ["Sr", "Sr", "Sr", "Sr", "Li", "Li", "Li", "Li", "Cd", "Cd"],
  "frac_coords": [[0.187, 0.313, 0.000], [0.313, 0.813, 0.000], [0.687, 0.187, 0.000], [0.813, 0.687, 0.000], [0.129, 0.629, 0.500], [0.371, 0.129, 0.500], [0.629, 0.871, 0.500], [0.871, 0.371, 0.500], [0.000, 0.000, 0.500], [0.500, 0.500, 0.500]],
  "total_magnetization_mub_per_fu": 0.0,
  "dos_ef_per_ev_cell": 8.4,
  "space_group": "P4/mbm, No. 127"
}

*ii*
{
  "formula": "Sr2Li2Cd",
  "functional": "meta-GGA SCAN",
  "state": "PBEsol geometry",
  "lattice_angstrom": [[-2.006, 2.006, 9.915], [2.006, -2.006, 9.915], [2.006, 2.006, -9.915]],
  "species": ["Sr", "Sr", "Li", "Li", "Cd"],
  "frac_coords": [[0.097, 0.097, 0.000], [0.903, 0.903, 0.000], [0.250, 0.750, 0.500], [0.750, 0.250, 0.500], [0.500, 0.500, 0.000]],
  "total_magnetization_mub_per_fu": 0.3,
  "dos_ef_per_ev_cell": 2.5,
  "space_group": "I4/mmm, No. 139"
}

On energetic grounds, *ii* is preferred over the next structure by 3.1 kJ/mol of atoms.

*i*
{
  "formula": "LiCdTc",
  "functional": "meta-GGA SCAN",
  "state": "PBEsol geometry",
  "lattice_angstrom": [[0.000, 2.918, 2.918], [2.918, 0.000, 2.918], [2.918, 2.918, 0.000]],
  "species": ["Li", "Cd", "Tc"],
  "frac_coords": [[0.000, 0.000, 0.000], [0.750, 0.750, 0.750], [0.250, 0.250, 0.250]],
  "total_magnetization_mub_per_fu": 2.3,
  "dos_ef_per_ev_cell": 1.2,
  "space_group": "F-43m, No. 216"
}

*ii*
{
  "formula": "LiCdTc",
  "functional": "meta-GGA SCAN",
  "state": "PBEsol geometry",
  "lattice_angstrom": [[-1.321, 1.321, 6.721], [1.321, -1.321, 6.721], [1.321, 1.321, -6.721]],
  "species": ["Li", "Cd", "Tc"],
  "frac_coords": [[0.000, 0.000, 0.000], [0.327, 0.327, 0.000], [0.656, 0.656, 0.000]],
  "total_magnetization_mub_per_fu": 0.0,
  "dos_ef_per_ev_cell": 1.1,
  "space_group": "I4mm, No. 107"
}

*iii*
{
  "formula": "LiCdTc",
  "functional": "meta-GGA SCAN",
  "state": "PBEsol geometry",
  "lattice_angstrom": [[2.742, 0.000, 0.000], [-1.371, 2.375, 0.000], [0.000, 0.000, 7.236]],
  "species": ["Li", "Cd", "Tc"],
  "frac_coords": [[0.000, 0.000, 0.000], [0.667, 0.333, 0.345], [0.333, 0.667, 0.689]],
  "total_magnetization_mub_per_fu": 0.0,
  "dos_ef_per_ev_cell": 1.4,
  "space_group": "P3m1, No. 156"
}

On energetic grounds, *iii* is preferred over the next structure by 2.0 kJ/mol of atoms.

*i*
{
  "formula": "Li2CdTe",
  "functional": "meta-GGA SCAN",
  "state": "PBEsol geometry",
  "lattice_angstrom": [[0.000, 3.481, 3.481], [3.481, 0.000, 3.481], [3.481, 3.481, 0.000]],
  "species": ["Li", "Li", "Cd", "Te"],
  "frac_coords": [[0.250, 0.250, 0.250], [0.750, 0.750, 0.750], [0.000, 0.000, 0.000], [0.500, 0.500, 0.500]],
  "total_magnetization_mub_per_fu": 0.0,
  "dos_ef_per_ev_cell": 0.1,
  "space_group": "Fm-3m, No. 225"
}

*ii*
{
  "formula": "Li2CdTe",
  "functional": "meta-GGA SCAN",
  "state": "PBEsol geometry",
  "lattice_angstrom": [[4.521, 0.000, 0.000], [0.000, 4.521, 0.000], [0.000, 0.000, 3.919]],
  "species": ["Li", "Li", "Cd", "Te"],
  "frac_coords": [[0.000, 0.500, 0.000], [0.500, 0.000, 0.000], [0.000, 0.000, 0.500], [0.500, 0.500, 0.500]],
  "total_magnetization_mub_per_fu": 0.0,
  "dos_ef_per_ev_cell": 1.1,
  "space_group": "P4/mmm, No. 123"
}

On energetic grounds, *ii* is preferred over the next structure by 2.9 kJ/mol of atoms.

*i*
{
  "formula": "LiTlCd",
  "functional": "meta-GGA SCAN",
  "state": "PBEsol geometry",
  "lattice_angstrom": [[-1.648, 2.180, 4.418], [1.648, -2.180, 4.418], [1.648, 2.180, -4.418]],
  "species": ["Li", "Tl", "Cd"],
  "frac_coords": [[0.000, 0.000, 0.000], [0.331, 0.331, 0.000], [0.664, 0.664, 0.000]],
  "total_magnetization_mub_per_fu": 0.0,
  "dos_ef_per_ev_cell": 1.0,
  "space_group": "Imm2, No. 44"
}

*ii*
{
  "formula": "LiTlCd",
  "functional": "meta-GGA SCAN",
  "state": "PBEsol geometry",
  "lattice_angstrom": [[3.185, 0.000, 0.000], [-0.007, 3.188, 0.000], [-1.589, -1.514, 6.214]],
  "species": ["Li", "Tl", "Cd"],
  "frac_coords": [[0.000, 0.000, 0.000], [0.663, 0.662, 0.326], [0.355, 0.361, 0.709]],
  "total_magnetization_mub_per_fu": 0.0,
  "dos_ef_per_ev_cell": 1.1,
  "space_group": "P1, No. 1"
}

On energetic grounds, *i* is preferred over the next structure by 1.4 kJ/mol of atoms.

*i*
{
  "formula": "LiCdW2",
  "functional": "meta-GGA SCAN",
  "state": "PBEsol geometry",
  "lattice_angstrom": [[2.662, 0.000, 0.000], [0.000, 4.311, 0.000], [-1.078, 0.000, 5.628]],
  "species": ["Li", "Cd", "W", "W"],
  "frac_coords": [[0.000, 0.000, 0.000], [0.220, 0.500, 0.776], [0.570, 0.000, 0.471], [0.822, 0.500, 0.263]],
  "total_magnetization_mub_per_fu": 0.0,
  "dos_ef_per_ev_cell": 1.4,
  "space_group": "Pm, No. 6"
}

*ii*
{
  "formula": "LiCdW2",
  "functional": "meta-GGA SCAN",
  "state": "PBEsol geometry",
  "lattice_angstrom": [[3.375, 0.000, 0.000], [0.000, 3.375, 0.000], [0.000, 0.000, 5.471]],
  "species": ["Li", "Cd", "W", "W"],
  "frac_coords": [[0.000, 0.000, 0.000], [0.000, 0.000, 0.500], [0.500, 0.500, 0.214], [0.500, 0.500, 0.786]],
  "total_magnetization_mub_per_fu": 0.0,
  "dos_ef_per_ev_cell": 2.7,
  "space_group": "P4/mmm, No. 123"
}

*iii*
{
  "formula": "LiCdW2",
  "functional": "meta-GGA SCAN",
  "state": "PBEsol geometry",
  "lattice_angstrom": [[1.572, -2.221, 0.000], [1.572, 2.221, 0.000], [0.000, 0.000, 9.395]],
  "species": ["Li", "Cd", "W", "W"],
  "frac_coords": [[0.000, 0.000, 0.000], [0.500, 0.500, 0.747], [0.000, 0.000, 0.479], [0.500, 0.500, 0.246]],
  "total_magnetization_mub_per_fu": 0.0,
  "dos_ef_per_ev_cell": 2.5,
  "space_group": "Cmm2, No. 35"
}

On energetic grounds, *iii* is preferred over the next structure by 9.7 kJ/mol of atoms.

*i*
{
  "formula": "LiZnCd",
  "functional": "meta-GGA SCAN",
  "state": "PBEsol geometry",
  "lattice_angstrom": [[2.898, 0.000, 0.000], [-1.449, 2.510, 0.000], [0.000, 0.000, 7.012]],
  "species": ["Li", "Zn", "Cd"],
  "frac_coords": [[0.000, 0.000, 0.000], [0.333, 0.667, 0.694], [0.667, 0.333, 0.346]],
  "total_magnetization_mub_per_fu": 0.0,
  "dos_ef_per_ev_cell": 1.0,
  "space_group": "P3m1, No. 156"
}

*ii*
{
  "formula": "LiZnCd",
  "functional": "meta-GGA SCAN",
  "state": "PBEsol geometry",
  "lattice_angstrom": [[4.545, 0.000, 0.000], [-2.273, 3.936, 0.000], [0.000, 0.000, 2.743]],
  "species": ["Li", "Zn", "Cd"],
  "frac_coords": [[0.000, 0.000, 0.000], [0.333, 0.667, 0.306], [0.667, 0.333, 0.617]],
  "total_magnetization_mub_per_fu": 0.0,
  "dos_ef_per_ev_cell": 0.8,
  "space_group": "P3m1, No. 156"
}

On energetic grounds, *ii* is preferred over the next structure by 10.4 kJ/mol of atoms.